(1)
An optimized crystal structure of Y2SnH. Source: Alexandria via LeMat-Bulk, functional PBE.

For the energy above the most stable polymorph in this dataset, the calculation gives 33 meV/atom. The final energy is -5.7352 eV per atom. The calculated density comes out at 5522 kg/m³. Its space group is Immm, No. 71. The crystal system is orthorhombic.

```
8
Lattice="-1.8570 3.2199 7.4818 1.8570 -3.2199 7.4818 1.8570 3.2199 -7.4818" Properties=species:S:1:pos:R:3 pbc="T T T"
Y 0.0000 0.0000 2.8143
Y 1.8570 1.5795 0.0000
Y 0.0000 1.6405 7.4818
Y 0.0000 0.0000 12.1494
Sn 1.8570 0.0000 5.3623
Sn 0.0000 3.2199 2.1196
H 1.8570 0.0000 1.5873
H 0.0000 3.2199 5.8946
```

***

(2)
An optimized crystal structure of YTa2Cu. Source: Alexandria via LeMat-Bulk, functional PBE.

For the energy above the most stable polymorph in this dataset, the calculation gives 203 meV/atom. The final energy is -8.1786 eV per atom. The calculated density comes out at 11044 kg/m³. Its space group is P4/mmm, No. 123. The crystal system is tetragonal.

```
4
Lattice="4.0487 0.0000 0.0000 0.0000 4.0487 0.0000 0.0000 0.0000 4.7179" Properties=species:S:1:pos:R:3 pbc="T T T"
Y 0.0000 0.0000 0.0000
Ta 0.0000 2.0243 2.3590
Ta 2.0243 0.0000 2.3590
Cu 2.0243 2.0243 0.0000
```